# 1
{
  "formula": "KRu2",
  "functional": "GGA-PBE",
  "state": "optimized geometry",
  "cell": [[-6.007, -0.597, 4.365], [-4.083, 5.420, 3.074], [3.147, -2.364, -6.325]],
  "species": ["K", "K", "Ru", "Ru", "Ru", "Ru"],
  "frac_coords": [[0.000, 0.000, 0.000], [0.750, 0.250, 0.500], [0.587, 0.587, 0.000], [0.163, 0.663, 0.500], [0.413, 0.413, 0.000], [0.337, 0.837, 0.500]],
  "final_energy_ev_per_atom": -5.32,
  "formation_enthalpy_0k_mev_per_atom": 1233,
  "m_tot_mub_per_atom": 0.00
}

=====

# 2
{
  "formula": "ScTcSeN2",
  "functional": "GGA-PBE",
  "state": "optimized geometry",
  "cell": [[-0.542, 3.886, 1.144], [-4.048, -0.475, -0.304], [-0.203, -1.530, 5.098]],
  "species": ["Sc", "Tc", "Se", "N", "N"],
  "frac_coords": [[0.000, 0.000, 0.000], [0.500, 0.500, 0.500], [0.000, 0.000, 0.500], [0.000, 0.500, 0.000], [0.500, 0.000, 0.000]],
  "final_energy_ev_per_atom": -6.38,
  "e_form_raw_ev_per_atom": 0.991,
  "m_tot_mub_per_atom": 0.51
}

=====

# 3
{
  "formula": "SmTh2PdRh5",
  "functional": "GGA-PBE",
  "state": "optimized geometry",
  "cell": [[-3.547, 1.387, 7.468], [-5.639, -6.003, -1.563], [7.884, -1.369, -0.706]],
  "species": ["Sm", "Sm", "Th", "Th", "Th", "Th", "Pd", "Pd", "Rh", "Rh", "Rh", "Rh", "Rh", "Rh", "Rh", "Rh", "Rh", "Rh"],
  "frac_coords": [[0.250, 0.250, 0.500], [0.750, 0.750, 0.500], [0.139, 0.361, 0.000], [0.639, 0.139, 0.000], [0.361, 0.861, 0.000], [0.861, 0.639, 0.000], [0.250, 0.750, 0.500], [0.750, 0.250, 0.500], [0.946, 0.446, 0.270], [0.677, 0.177, 0.730], [0.054, 0.554, 0.730], [0.177, 0.054, 0.730], [0.554, 0.677, 0.730], [0.823, 0.946, 0.270], [0.446, 0.323, 0.270], [0.323, 0.823, 0.270], [0.500, 0.500, 0.000], [0.000, 0.000, 0.000]],
  "final_energy_ev_per_atom": -7.22,
  "formation_enthalpy_0k_mev_per_atom": -386,
  "m_tot_mub_per_atom": 0.00
}

=====

# 4
{
  "formula": "InAg2Pd5",
  "functional": "GGA-PBE",
  "state": "optimized geometry",
  "cell": [[3.932, 0.000, -1.081], [-0.297, 3.920, -1.081], [0.206, 0.222, 8.441]],
  "species": ["In", "Ag", "Ag", "Pd", "Pd", "Pd", "Pd", "Pd"],
  "frac_coords": [[0.000, 0.000, 0.000], [0.751, 0.751, 0.501], [0.249, 0.249, 0.499], [0.500, 0.500, 0.000], [0.877, 0.377, 0.754], [0.377, 0.877, 0.754], [0.123, 0.623, 0.246], [0.623, 0.123, 0.246]],
  "final_energy_ev_per_atom": -4.54,
  "formation_enthalpy_0k_mev_per_atom": -235,
  "m_tot_mub_per_atom": 0.00
}

=====

# 5
{
  "formula": "PmTm4ScS8",
  "functional": "GGA-PBE",
  "state": "optimized geometry",
  "cell": [[-3.758, 0.411, -7.038], [-5.771, -5.237, -1.759], [-7.525, 2.326, -0.381]],
  "species": ["Pm", "Tm", "Tm", "Tm", "Tm", "Sc", "S", "S", "S", "S", "S", "S", "S", "S"],
  "frac_coords": [[0.379, 0.379, 0.863], [0.623, 0.623, 0.132], [0.000, 0.501, 0.500], [0.501, 0.000, 0.500], [0.000, 0.000, 0.500], [0.999, 0.999, 0.003], [0.233, 0.788, 0.747], [0.788, 0.233, 0.747], [0.233, 0.233, 0.747], [0.240, 0.240, 0.279], [0.761, 0.226, 0.251], [0.226, 0.761, 0.251], [0.761, 0.761, 0.251], [0.757, 0.757, 0.730]],
  "final_energy_ev_per_atom": -6.32,
  "e_form_raw_ev_per_atom": -1.894,
  "m_tot_mub_per_atom": 0.00
}

=====

# 6
{
  "formula": "SrCo3",
  "functional": "GGA-PBE",
  "state": "optimized geometry",
  "cell": [[-0.826, 2.269, -1.920], [1.350, -1.488, -2.340], [-5.982, -3.314, -1.342]],
  "species": ["Co", "Co", "Co", "Sr"],
  "frac_coords": [[0.000, 0.000, 0.916], [0.500, 0.500, 0.750], [0.000, 0.000, 0.584], [0.500, 0.500, 0.250]],
  "final_energy_ev_per_atom": -5.26,
  "formation_enthalpy_0k_mev_per_atom": 487,
  "m_tot_mub_per_atom": 1.19
}

=====

# 7
{
  "formula": "YPN3",
  "functional": "GGA-PBE",
  "state": "optimized geometry",
  "cell": [[5.662, 0.000, 0.000], [0.000, 5.636, -2.081], [0.000, 1.038, 9.055]],
  "species": ["Y", "Y", "Y", "Y", "P", "P", "P", "P", "N", "N", "N", "N", "N", "N", "N", "N", "N", "N", "N", "N"],
  "frac_coords": [[0.367, 0.362, 0.123], [0.133, 0.862, 0.623], [0.867, 0.138, 0.377], [0.633, 0.638, 0.877], [0.673, 0.624, 0.507], [0.827, 0.124, 0.007], [0.173, 0.876, 0.993], [0.327, 0.376, 0.493], [0.540, 0.414, 0.368], [0.094, 0.510, 0.440], [0.960, 0.914, 0.868], [0.752, 0.869, 0.493], [0.406, 0.010, 0.940], [0.252, 0.631, 0.007], [0.748, 0.369, 0.993], [0.594, 0.990, 0.060], [0.248, 0.131, 0.507], [0.040, 0.086, 0.132], [0.906, 0.490, 0.560], [0.460, 0.586, 0.632]],
  "final_energy_ev_per_atom": -8.13,
  "e_form_raw_ev_per_atom": -0.762,
  "m_tot_mub_per_atom": 0.00
}

=====

# 8
{
  "formula": "TmNpP2",
  "functional": "GGA-PBE",
  "state": "optimized geometry",
  "cell": [[-0.664, -1.110, -3.611], [2.817, -1.578, -2.070], [-1.134, -7.188, 0.381]],
  "species": ["Tm", "Np", "P", "P"],
  "frac_coords": [[0.669, 0.669, 0.992], [0.498, 0.498, 0.506], [0.081, 0.081, 0.756], [0.252, 0.252, 0.245]],
  "final_energy_ev_per_atom": -8.13,
  "formation_enthalpy_0k_mev_per_atom": -1075,
  "m_tot_mub_per_atom": 0.98
}